# Ac4SiSnBr2 (GGA-PBE, relaxed)
# - Magnetization: 0.0 Bohr magnetons per cell
# - Electronic total energy: -37.50 eV/cell
# - Calculated volume: 286.57 Å³ per cell
# - Formation energy without anion corrections: -800 kJ/mol of formula units
data_Ac4SiSnBr2
_space_group_name_H-M_alt 'P 1 2/m 1'
_space_group_IT_number 10
_space_group_name_Hall '-P 2y'
_cell_length_a 7.8613
_cell_length_b 4.7156
_cell_length_c 8.2408
_cell_angle_alpha 90.00
_cell_angle_beta 110.27
_cell_angle_gamma 90.00
loop_
_atom_site_label
_atom_site_type_symbol
_atom_site_fract_x
_atom_site_fract_y
_atom_site_fract_z
Ac1 Ac 0.2235 0.0000 0.2289
Ac2 Ac 0.2306 0.5000 0.7584
Si1 Si 0.0000 0.5000 0.0000
Sn1 Sn 0.0000 0.0000 0.5000
Br1 Br 0.5000 0.0000 0.0000
Br2 Br 0.5000 0.5000 0.5000